RbPuBi2 after structural relaxation, computed with GGA-PBE.

abc: 3.6099 3.6099 10.2819
angles: 90.00 90.00 90.00
With the nearest neighbours (Å) after each atom.
Space group P4/mmm (No. 123)
One atom of each set of equivalent atoms:
Rb  0.0000  0.0000  0.0000  4 Rb 3.61, 8 Bi 3.84
Pu  0.0000  0.0000  0.5000  8 Bi 3.42, 4 Pu 3.61
Bi  0.5000  0.5000  0.2785  4 Pu 3.42, 4 Bi 3.61

Results
- Formation energy: -1.37 eV/f.u.
- Uncorrected energy: -6.11 eV/atom
- Energy relative to the lowest polymorph listed for this composition: 0.000 eV per atom